i:
{"formula": "Dy2Sc3Ga4", "functional": "PBE", "state": "optimized geometry", "rho_g_cm3": 6.1, "lattice": [[-5.286, -1.720, 3.242], [4.242, 0.155, 7.000], [0.824, 8.222, -0.681]], "species": ["Dy", "Dy", "Dy", "Dy", "Sc", "Sc", "Sc", "Sc", "Sc", "Sc", "Ga", "Ga", "Ga", "Ga", "Ga", "Ga", "Ga", "Ga"], "frac_coords": [[0.110, 0.583, 0.220], [0.890, 0.417, 0.780], [0.390, 0.083, 0.780], [0.610, 0.917, 0.220], [0.000, 0.000, 0.000], [0.500, 0.500, 0.000], [0.537, 0.750, 0.573], [0.963, 0.250, 0.427], [0.463, 0.250, 0.427], [0.037, 0.750, 0.573], [0.716, 0.750, 0.931], [0.784, 0.250, 0.069], [0.284, 0.250, 0.069], [0.216, 0.750, 0.931], [0.186, 0.956, 0.372], [0.814, 0.044, 0.628], [0.314, 0.456, 0.628], [0.686, 0.544, 0.372]]}

---

ii:
{"formula": "Dy2Sc3Ga4", "functional": "PBE", "state": "optimized geometry", "rho_g_cm3": 6.2, "lattice": [[7.281, 0.034, 0.000], [-2.362, 7.187, 0.000], [0.000, 0.000, 7.572]], "species": ["Dy", "Dy", "Dy", "Dy", "Sc", "Sc", "Sc", "Sc", "Sc", "Sc", "Ga", "Ga", "Ga", "Ga", "Ga", "Ga", "Ga", "Ga"], "frac_coords": [[0.572, 0.193, 0.322], [0.928, 0.807, 0.822], [0.428, 0.807, 0.678], [0.072, 0.193, 0.178], [0.000, 0.500, 0.500], [0.500, 0.500, 0.000], [0.748, 0.247, 0.824], [0.752, 0.753, 0.324], [0.252, 0.753, 0.176], [0.248, 0.247, 0.676], [0.864, 0.080, 0.533], [0.636, 0.920, 0.033], [0.136, 0.920, 0.467], [0.364, 0.080, 0.967], [0.872, 0.495, 0.122], [0.628, 0.505, 0.622], [0.128, 0.505, 0.878], [0.372, 0.495, 0.378]]}

---

Least stable: i

---

i:
{"formula": "DyScGa6", "functional": "PBE", "state": "optimized geometry", "rho_g_cm3": 7.0, "lattice": [[-2.557, 1.525, -3.591], [-5.001, -0.356, 3.410], [3.229, 5.131, -0.121]], "species": ["Dy", "Sc", "Ga", "Ga", "Ga", "Ga", "Ga", "Ga"], "frac_coords": [[0.500, 0.417, 0.583], [0.000, 0.083, 0.917], [0.000, 0.050, 0.400], [0.000, 0.600, 0.950], [0.000, 0.600, 0.400], [0.500, 0.437, 0.093], [0.500, 0.907, 0.563], [0.500, 0.907, 0.093]]}

---

ii:
{"formula": "DyScGa6", "functional": "PBE", "state": "optimized geometry", "rho_g_cm3": 7.0, "lattice": [[4.197, 0.000, 0.000], [0.000, 4.197, 0.000], [0.000, 0.000, 8.376]], "species": ["Dy", "Sc", "Ga", "Ga", "Ga", "Ga", "Ga", "Ga"], "frac_coords": [[0.000, 0.000, 0.000], [0.000, 0.000, 0.500], [0.500, 0.500, 0.000], [0.500, 0.500, 0.500], [0.500, 0.000, 0.259], [0.500, 0.000, 0.741], [0.000, 0.500, 0.259], [0.000, 0.500, 0.741]]}

---

Least stable: i

---

i:
{"formula": "Dy2ScGa2", "functional": "PBE", "state": "optimized geometry", "rho_g_cm3": 7.1, "lattice": [[4.337, 0.000, 0.000], [2.168, 5.418, 0.208], [2.168, 1.651, 5.164]], "species": ["Dy", "Dy", "Sc", "Ga", "Ga"], "frac_coords": [[0.203, 0.297, 0.297], [0.797, 0.703, 0.703], [0.000, 0.000, 0.000], [0.500, 0.290, 0.710], [0.500, 0.710, 0.290]]}

---

ii:
{"formula": "Dy2ScGa2", "functional": "PBE", "state": "optimized geometry", "rho_g_cm3": 7.1, "lattice": [[-3.918, 1.265, 1.142], [0.975, -3.065, 6.741], [2.814, 6.442, 2.522]], "species": ["Dy", "Dy", "Dy", "Dy", "Sc", "Sc", "Ga", "Ga", "Ga", "Ga"], "frac_coords": [[0.500, 0.175, 0.675], [0.500, 0.675, 0.825], [0.500, 0.825, 0.325], [0.500, 0.325, 0.175], [0.000, 0.000, 0.000], [0.000, 0.500, 0.500], [0.000, 0.377, 0.877], [0.000, 0.877, 0.623], [0.000, 0.623, 0.123], [0.000, 0.123, 0.377]]}

---

Least stable: i

---

i:
{"formula": "DyScTlGa", "functional": "PBE", "state": "optimized geometry", "rho_g_cm3": 8.6, "lattice": [[5.085, 0.000, 0.000], [2.542, 4.404, 0.000], [2.542, 1.468, 4.152]], "species": ["Sc", "Tl", "Ga", "Dy"], "frac_coords": [[0.000, 0.000, 0.000], [0.750, 0.750, 0.750], [0.250, 0.250, 0.250], [0.500, 0.500, 0.500]]}

---

ii:
{"formula": "DyScTlGa", "functional": "PBE", "state": "optimized geometry", "rho_g_cm3": 8.7, "lattice": [[-2.167, 1.438, -2.357], [1.413, -1.996, -2.518], [-5.067, -5.348, 1.396]], "species": ["Dy", "Sc", "Tl", "Ga"], "frac_coords": [[0.500, 0.500, 0.801], [0.500, 0.500, 0.340], [0.000, 0.000, 0.088], [0.000, 0.000, 0.556]]}

---

Least stable: i

---

i:
{"formula": "Dy3Ga2Si3", "functional": "PBE", "state": "optimized geometry", "rho_g_cm3": 7.4, "lattice": [[4.131, 0.000, 0.000], [-2.065, 5.401, 0.000], [0.000, 0.000, 14.382]], "species": ["Dy", "Dy", "Dy", "Dy", "Dy", "Dy", "Ga", "Ga", "Ga", "Ga", "Si", "Si", "Si", "Si", "Si", "Si"], "frac_coords": [[0.939, 0.878, 0.385], [0.061, 0.122, 0.885], [0.939, 0.878, 0.115], [0.061, 0.122, 0.615], [0.651, 0.301, 0.250], [0.349, 0.699, 0.750], [0.776, 0.552, 0.896], [0.224, 0.448, 0.396], [0.776, 0.552, 0.604], [0.224, 0.448, 0.104], [0.610, 0.220, 0.463], [0.390, 0.780, 0.963], [0.610, 0.220, 0.037], [0.390, 0.780, 0.537], [0.371, 0.743, 0.250], [0.629, 0.257, 0.750]]}

---

ii:
{"formula": "Dy3Ga2Si3", "functional": "PBE", "state": "optimized geometry", "rho_g_cm3": 7.2, "lattice": [[4.105, 0.000, 0.000], [-2.052, 5.355, 0.000], [0.000, 0.000, 14.869]], "species": ["Dy", "Dy", "Dy", "Dy", "Dy", "Dy", "Ga", "Ga", "Ga", "Ga", "Si", "Si", "Si", "Si", "Si", "Si"], "frac_coords": [[0.863, 0.727, 0.405], [0.137, 0.273, 0.905], [0.863, 0.727, 0.095], [0.137, 0.273, 0.595], [0.570, 0.140, 0.250], [0.430, 0.860, 0.750], [0.849, 0.698, 0.879], [0.151, 0.302, 0.379], [0.849, 0.698, 0.621], [0.151, 0.302, 0.121], [0.580, 0.159, 0.447], [0.420, 0.841, 0.947], [0.580, 0.159, 0.053], [0.420, 0.841, 0.553], [0.300, 0.600, 0.250], [0.700, 0.400, 0.750]]}

---

Least stable: i

---

i:
{"formula": "DyGaSi2", "functional": "PBE", "state": "optimized geometry", "rho_g_cm3": 6.2, "lattice": [[-0.248, -4.319, -0.139], [2.963, -2.405, 2.043], [-1.794, -2.213, 4.583]], "species": ["Si", "Si", "Ga", "Dy"], "frac_coords": [[0.710, 0.710, 0.869], [0.290, 0.290, 0.131], [0.000, 0.000, 0.000], [0.500, 0.500, 0.500]]}

---

ii:
{"formula": "DyGaSi2", "functional": "PBE", "state": "optimized geometry", "rho_g_cm3": 6.5, "lattice": [[4.131, 0.000, 0.000], [0.000, 4.218, 0.000], [0.000, 0.000, 4.218]], "species": ["Si", "Si", "Ga", "Dy"], "frac_coords": [[0.000, 0.000, 0.500], [0.000, 0.500, 0.000], [0.500, 0.500, 0.500], [0.500, 0.000, 0.000]]}

---

Least stable: i